No. 1
An optimized crystal structure of SiSbO2, computed with PBE.

POSCAR file:
```
SiSbO2
1.0
1.639 0.000 8.763
-0.819 1.419 8.763
-0.819 -1.419 8.763
Sb O Si
1 2 1
Direct
0.000 0.000 0.000 Sb
0.134 0.134 0.134 O
0.866 0.866 0.866 O
0.500 0.500 0.500 Si
```

## Properties
**ρ**: 4.94 g/cm3
**Crystal system**: trigonal
**E above lowest polymorph**: 7 meV per atom
**Raw formation energy**: -1.48 eV per atom

No. 2
An optimized crystal structure of ReMo2Cl, computed with PBE.

POSCAR file:
```
ReMo2Cl
1.0
-1.218 4.429 -2.687
-3.247 3.675 2.068
4.285 -2.840 1.377
Re Cl Mo
1 1 2
Direct
0.500 0.500 0.000 Re
0.750 0.250 0.500 Cl
0.000 0.000 0.000 Mo
0.250 0.750 0.500 Mo
```

## Properties
**ρ**: 10.85 g/cm3
**Crystal system**: tetragonal
**E above lowest polymorph**: 832 meV per atom
**Raw formation energy**: 1.07 eV per atom

No. 3
An optimized crystal structure of LaSc2Sn, computed with PBE.

POSCAR file:
```
LaSc2Sn
1.0
-2.682 0.143 -3.321
0.158 -5.960 2.363
-6.614 1.976 5.426
Sc Sn La
4 2 2
Direct
0.140 0.280 0.450 Sc
0.860 0.720 0.550 Sc
0.140 0.280 0.050 Sc
0.860 0.720 0.950 Sc
0.735 0.469 0.250 Sn
0.265 0.531 0.750 Sn
0.553 0.105 0.750 La
0.447 0.895 0.250 La
```

## Properties
**ρ**: 5.09 g/cm3
**Crystal system**: orthorhombic
**Formation enthalpy at 0 K**: -374 meV/atom

No. 4
An optimized crystal structure of BeNb2ReMo, computed with PBE.

POSCAR file:
```
BeNb2ReMo
1.0
4.836 0.000 0.000
0.000 4.733 0.000
0.000 0.000 4.836
Nb Be Re Mo
2 1 1 1
Direct
0.500 0.000 0.000 Nb
0.000 0.000 0.500 Nb
0.500 0.500 0.500 Be
0.000 0.000 0.000 Re
0.000 0.500 0.000 Mo
```

## Properties
**ρ**: 7.15 g/cm3
**Crystal system**: tetragonal
**Formation enthalpy at 0 K**: 1608 meV/atom

No. 5
An optimized crystal structure of Tb7Pm4Nd, computed with PBE.

POSCAR file:
```
Tb7Pm4Nd
1.0
6.081 -1.368 2.935
1.170 5.984 2.479
2.668 -1.949 11.405
Nd Pm Tb
1 4 7
Direct
0.000 0.000 0.000 Nd
0.478 0.360 0.716 Pm
0.522 0.640 0.284 Pm
0.701 0.837 0.689 Pm
0.299 0.163 0.311 Pm
0.058 0.317 0.641 Tb
0.801 0.514 0.949 Tb
0.500 0.000 0.000 Tb
0.942 0.683 0.359 Tb
0.284 0.809 0.614 Tb
0.199 0.486 0.051 Tb
0.716 0.191 0.386 Tb
```

## Properties
**ρ**: 7.62 g/cm3
**Crystal system**: triclinic
**Formation enthalpy at 0 K**: 84 meV/atom
**E above lowest polymorph**: 0 meV per atom

No. 6
An optimized crystal structure of Nd2HoCd4, computed with PBE.

POSCAR file:
```
Nd2HoCd4
1.0
5.608 0.000 0.000
0.000 5.608 0.000
-2.804 -2.804 7.969
Cd Ho Nd
4 1 2
Direct
0.811 0.811 0.621 Cd
0.000 0.500 0.000 Cd
0.500 0.000 0.000 Cd
0.189 0.189 0.379 Cd
0.000 0.000 0.000 Ho
0.608 0.608 0.215 Nd
0.392 0.392 0.785 Nd
```

## Properties
**ρ**: 5.98 g/cm3
**Crystal system**: tetragonal
**Formation enthalpy at 0 K**: 221 meV/atom
**E above lowest polymorph**: 355 meV per atom

No. 7
An optimized crystal structure of CsSn3I12, computed with PBE.

POSCAR file:
```
CsSn3I12
1.0
-7.729 6.162 -0.037
4.412 5.455 -13.144
-9.285 -11.642 0.496
I Sn Cs
24 6 2
Direct
0.973 0.234 0.430 I
0.750 0.853 0.859 I
0.250 0.147 0.141 I
0.250 0.528 0.982 I
0.750 0.472 0.018 I
0.750 0.982 0.455 I
0.473 0.804 0.234 I
0.027 0.430 0.196 I
0.250 0.018 0.545 I
0.027 0.766 0.570 I
0.250 0.455 0.472 I
0.527 0.234 0.430 I
0.527 0.196 0.766 I
0.250 0.994 0.853 I
0.750 0.545 0.528 I
0.473 0.430 0.196 I
0.027 0.804 0.234 I
0.473 0.766 0.570 I
0.973 0.196 0.766 I
0.750 0.141 0.994 I
0.527 0.570 0.804 I
0.973 0.570 0.804 I
0.750 0.006 0.147 I
0.250 0.859 0.006 I
0.750 0.105 0.361 Sn
0.250 0.895 0.639 Sn
0.250 0.361 0.256 Sn
0.750 0.256 0.895 Sn
0.750 0.639 0.744 Sn
0.250 0.744 0.105 Sn
0.250 0.333 0.667 Cs
0.750 0.667 0.333 Cs
```

## Properties
**ρ**: 3.52 g/cm3
**Crystal system**: hexagonal
**Raw formation energy**: -0.47 eV per atom

No. 8
An optimized crystal structure of PmTm2MnN4, computed with PBE.

POSCAR file:
```
PmTm2MnN4
1.0
3.365 0.000 0.000
-1.682 5.668 0.000
0.000 0.000 11.338
N Mn Tm Pm
8 2 4 2
Direct
0.265 0.530 0.372 N
0.735 0.470 0.628 N
0.578 0.156 0.250 N
0.735 0.470 0.872 N
0.422 0.844 0.750 N
0.265 0.530 0.128 N
0.000 0.000 0.000 N
0.000 0.000 0.500 N
0.156 0.313 0.250 Mn
0.844 0.687 0.750 Mn
0.368 0.737 0.956 Tm
0.632 0.263 0.044 Tm
0.368 0.737 0.544 Tm
0.632 0.263 0.456 Tm
0.891 0.781 0.250 Pm
0.109 0.219 0.750 Pm
```

## Properties
**ρ**: 9.12 g/cm3
**Crystal system**: orthorhombic
**Raw formation energy**: -1.26 eV per atom

Calculated total energy (eV/atom), listed in the same order as above: -6.343 -7.918 -5.772 -7.821 -4.598 -2.318 -2.438 -8.276